Computed, not measured: a relaxed MnGe2Ir crystal at the PBE level of DFT.

The structure in POSCAR format:
```
MnGe2Ir
1.0
-0.527 -4.048 -0.391
4.538 -0.379 -2.185
2.755 0.819 5.581
Ir Mn Ge
2 2 4
Direct
0.116 0.750 0.381
0.884 0.250 0.619
0.000 0.500 0.000
0.000 0.000 0.000
0.274 0.250 0.367
0.535 0.750 0.105
0.726 0.750 0.633
0.465 0.250 0.895
```

Properties
formation energy = -15 kJ/mol of atoms
total magnetic moment = 2.244 μB per formula unit

=====

Computed, not measured: a relaxed Nd8Co3IrI4 crystal at the PBE level of DFT.

The structure in POSCAR format:
```
Nd8Co3IrI4
1.0
8.210 0.003 0.000
0.004 9.365 0.815
-4.107 -4.094 5.808
Nd Co I Ir
8 3 4 1
Direct
0.279 0.317 0.048
0.768 0.317 0.048
0.272 0.319 0.545
0.232 0.683 0.952
0.721 0.683 0.952
0.769 0.317 0.537
0.728 0.681 0.455
0.231 0.683 0.463
0.500 0.500 0.000
0.500 0.500 0.500
0.000 0.500 0.500
0.500 0.000 0.500
0.000 0.000 0.500
0.000 0.000 0.000
0.500 0.000 0.000
0.000 0.500 0.000
```

Properties
total magnetic moment = 0.000 μB per formula unit
formation energy without anion corrections = -0.672 eV per atom

=====

Computed, not measured: a relaxed MnHg2P crystal at the PBE level of DFT.

The structure in POSCAR format:
```
MnHg2P
1.0
-4.470 -0.244 -0.100
1.357 -3.287 2.722
-0.211 2.590 3.228
Hg P Mn
2 1 1
Direct
0.500 0.500 0.000
0.000 0.000 0.000
0.000 0.500 0.500
0.500 0.000 0.500
```

Properties
formation energy = 42 kJ/mol of atoms
total magnetic moment = 3.955 μB per formula unit